(1)
A plane-wave DFT calculation with GGA-PBE was carried out for a geometry-optimized TiVTe3 structure.

a = 3.411 Å, b = 7.176 Å, c = 7.176 Å
α = 58.74°, β = 90.00°, γ = 90.00°
Fractional positions:
Ti1 0.512 0.204 0.798
V1 0.012 0.893 0.109
Te1 0.512 0.113 0.215
Te2 0.012 0.502 0.500
Te3 0.512 0.788 0.889

## Properties
The space group is No. 38. For the density of states at the Fermi level, the calculation gives 2.43 states/eV/f.u. The calculation puts the calculated volume at 150 Å³/f.u.

---

(2)
A plane-wave DFT calculation with GGA-PBE was carried out for a geometry-optimized TiVTe3 structure.

a = 5.311 Å, b = 5.311 Å, c = 5.311 Å
α = 90.00°, β = 90.00°, γ = 90.00°
Fractional positions:
V1 0.500 0.500 0.500
Te1 0.000 0.500 0.000
Te2 0.000 0.000 0.500
Te3 0.500 0.000 0.000
Ti1 0.000 0.000 0.000

## Properties
The space group is No. 221. For the density of states at the Fermi level, the calculation gives 8.72 states/eV/f.u. The calculation puts the calculated volume at 150 Å³/f.u.

---

Among the structures above, stability is smallest for (2).